Record 1
A crystal of MgTaNi6 relaxed with PBEsol. Source: the Alexandria database, functional meta-GGA SCAN.

Lattice parameters (Å, degrees): 6.2288 6.2288 10.1797 90.00 90.00 109.48
Closest atoms and distances in Å follow each position.
Element x y z (fractional)
Ni 0.8759 0.6263 0.1262  1 Ta 2.50, 3 Mg 2.53-2.56, 8 Ni 2.54-2.57
Ni 0.1237 0.3740 0.6238  8 Ni 2.52-2.55, 3 Ta 2.52-2.57, 1 Mg 2.57
Ni 0.0000 0.0000 0.0000  2 Ta 2.49, 2 Mg 2.53, 8 Ni 2.54
Ni 0.7512 0.2488 0.7480  2 Ta 2.52-2.53, 8 Ni 2.53-2.56, 2 Mg 2.56-2.57
Ni 0.1237 0.3740 0.3762  8 Ni 2.52-2.55, 3 Ta 2.52-2.57, 1 Mg 2.57
Ni 0.3737 0.1241 0.8738  1 Ta 2.50, 3 Mg 2.53-2.56, 8 Ni 2.54-2.57
Ni 0.3740 0.1237 0.3762  8 Ni 2.52-2.55, 3 Ta 2.52-2.57, 1 Mg 2.57
Ni 0.3740 0.1237 0.6238  8 Ni 2.52-2.55, 3 Ta 2.52-2.57, 1 Mg 2.57
Ni 0.1241 0.3737 0.1262  1 Ta 2.50, 3 Mg 2.53-2.56, 8 Ni 2.54-2.57
Ni 0.1241 0.3737 0.8738  1 Ta 2.50, 3 Mg 2.53-2.56, 8 Ni 2.54-2.57
Ni 0.0000 0.0000 0.5000  4 Ta 2.53-2.60, 8 Ni 2.53
Ni 0.7512 0.2488 0.2520  2 Ta 2.52-2.53, 8 Ni 2.53-2.56, 2 Mg 2.56-2.57
Ni 0.8763 0.6260 0.3762  8 Ni 2.52-2.55, 3 Ta 2.52-2.57, 1 Mg 2.57
Ni 0.2488 0.7512 0.7480  2 Ta 2.52-2.53, 8 Ni 2.53-2.56, 2 Mg 2.56-2.57
Ni 0.6263 0.8759 0.1262  1 Ta 2.50, 3 Mg 2.53-2.56, 8 Ni 2.54-2.57
Ni 0.6263 0.8759 0.8738  1 Ta 2.50, 3 Mg 2.53-2.56, 8 Ni 2.54-2.57
Ni 0.8763 0.6260 0.6238  8 Ni 2.52-2.55, 3 Ta 2.52-2.57, 1 Mg 2.57
Ni 0.8759 0.6263 0.8738  1 Ta 2.50, 3 Mg 2.53-2.56, 8 Ni 2.54-2.57
Ni 0.5000 0.5000 0.0000  4 Mg 2.53-2.55, 8 Ni 2.55
Ni 0.2488 0.7512 0.2520  2 Ta 2.52-2.53, 8 Ni 2.53-2.56, 2 Mg 2.56-2.57
Ni 0.6260 0.8763 0.6238  8 Ni 2.52-2.55, 3 Ta 2.52-2.57, 1 Mg 2.57
Ni 0.5000 0.5000 0.5000  8 Ni 2.54, 2 Ta 2.55, 2 Mg 2.56
Ni 0.3737 0.1241 0.1262  1 Ta 2.50, 3 Mg 2.53-2.56, 8 Ni 2.54-2.57
Ni 0.6260 0.8763 0.3762  8 Ni 2.52-2.55, 3 Ta 2.52-2.57, 1 Mg 2.57
Ta 0.7512 0.2488 0.5000  12 Ni 2.52-2.55
Ta 0.0000 0.0000 0.2447  12 Ni 2.49-2.60
Ta 0.0000 0.0000 0.7553  12 Ni 2.49-2.60
Ta 0.2488 0.7512 0.5000  12 Ni 2.52-2.55
Mg 0.5000 0.5000 0.7518  12 Ni 2.53-2.57
Mg 0.5000 0.5000 0.2482  12 Ni 2.53-2.57
Mg 0.7509 0.2491 0.0000  12 Ni 2.53-2.57
Mg 0.2491 0.7509 0.0000  12 Ni 2.53-2.57

Summary:
Its space group is Cmmm. The value obtained for the formation energy is -0.2484 eV/atom.

---

Record 2
A crystal of TlZnRe2 relaxed with PBEsol. Source: the Alexandria database, functional meta-GGA SCAN.

Lattice parameters (Å, degrees): 3.2171 3.2171 6.2728 90.00 90.00 90.00
Closest atoms and distances in Å follow each position.
Element x y z (fractional)
Tl 0.5000 0.5000 0.0000  8 Re 2.96, 2 Zn 3.14, 4 Tl 3.22
Re 0.0000 0.0000 0.3029  1 Re 2.47, 4 Zn 2.59
Re 0.0000 0.0000 0.6971  1 Re 2.47, 4 Zn 2.59
Zn 0.5000 0.5000 0.5000  8 Re 2.59

Summary:
The polymorph energy (0 for the lowest one) is 130 meV/atom. Its space group is P4/mmm. The value obtained for the formation energy is 0.9784 eV/atom.

---

Record 3
A crystal of TiCd3Si relaxed with PBEsol. Source: the Alexandria database, functional meta-GGA SCAN.

Lattice parameters (Å, degrees): 4.9204 4.9204 4.9204 90.00 90.00 90.00
Closest atoms and distances in Å follow each position.
Element x y z (fractional)
Ti 0.5000 0.5000 0.5000  12 Cd 3.48
Si 0.0000 0.0000 0.0000  6 Cd 2.46
Cd 0.5000 0.0000 0.0000  2 Si 2.46
Cd 0.0000 0.5000 0.0000  2 Si 2.46
Cd 0.0000 0.0000 0.5000  2 Si 2.46

Summary:
Its energy relative to the elements, uncorrected is 4.05 eV/f.u. Its space group is Pm-3m.

---

Record 4
A crystal of Pr3Si2ClO8 relaxed with PBEsol. Source: the Alexandria database, functional meta-GGA SCAN.

Lattice parameters (Å, degrees): 6.4349 7.7410 8.8081 97.48 90.00 114.56
Closest atoms and distances in Å follow each position.
Element x y z (fractional)
O 0.1777 0.4744 0.4191  1 Si 1.65
O 0.4076 0.2918 0.6482  1 Si 1.62
O 0.4495 0.1524 0.0349  1 Si 1.65
O 0.7660 0.3076 0.8454  1 Si 1.63
O 0.2971 0.8476 0.4651  1 Si 1.65
O 0.7029 0.1524 0.5349  1 Si 1.65
O 0.5416 0.3076 0.3454  1 Si 1.63
O 0.2340 0.6924 0.1546  1 Si 1.63
O 0.8842 0.2918 0.1482  1 Si 1.62
O 0.8223 0.5256 0.5809  1 Si 1.65
O 0.4584 0.6924 0.6546  1 Si 1.63
O 0.1158 0.7082 0.8518  1 Si 1.62
O 0.7033 0.5256 0.0809  1 Si 1.65
O 0.5924 0.7082 0.3518  1 Si 1.62
O 0.2967 0.4744 0.9191  1 Si 1.65
O 0.5505 0.8476 0.9651  1 Si 1.65
Cl 0.0225 0.0000 0.2500  3 Pr 2.86-2.88, 2 O 2.98
Cl 0.9775 0.0000 0.7500  3 Pr 2.86-2.88, 2 O 2.98
Pr 0.2934 0.3727 0.1728  7 O 2.43-2.68
Pr 0.4256 0.0000 0.7500  8 O 2.51-2.64
Pr 0.9207 0.6273 0.3272  7 O 2.43-2.68
Pr 0.5744 0.0000 0.2500  8 O 2.51-2.64
Pr 0.7066 0.6273 0.8272  7 O 2.43-2.68
Pr 0.0793 0.3727 0.6728  7 O 2.43-2.68
Si 0.7123 0.3164 0.0264  4 O 1.62-1.65
Si 0.2877 0.6836 0.9736  4 O 1.62-1.65
Si 0.3959 0.6836 0.4736  4 O 1.62-1.65
Si 0.6041 0.3164 0.5264  4 O 1.62-1.65

Summary:
Its energy relative to the elements, uncorrected is -48.58 eV/f.u. Its space group is C2/c.

---

Record 5
A crystal of Cd2CuAg relaxed with PBEsol. Source: the Alexandria database, functional meta-GGA SCAN.

Lattice parameters (Å, degrees): 4.0116 4.0116 5.0576 113.37 113.37 90.00
Closest atoms and distances in Å follow each position.
Element x y z (fractional)
Cd 0.7500 0.2500 0.5000  4 Ag 2.84, 4 Cd 2.90, 4 Cu 2.90
Cd 0.0000 0.0000 0.0000  4 Cu 2.84, 4 Cd 2.90, 4 Ag 2.90
Ag 0.2500 0.7500 0.5000  8 Cd 2.84-2.90, 4 Cu 2.90
Cu 0.5000 0.5000 0.0000  8 Cd 2.84-2.90, 4 Ag 2.90

Summary:
Its space group is I-4m2. The value obtained for the formation energy is 0.0431 eV/atom.

---

Record 6
A crystal of Zr2TeCl relaxed with PBEsol. Source: the Alexandria database, functional meta-GGA SCAN.

Lattice parameters (Å, degrees): 3.3526 3.3400 8.8809 90.00 90.00 120.12
Closest atoms and distances in Å follow each position.
Element x y z (fractional)
Zr 0.0000 0.0000 0.7426  2 Cl 2.73, 2 Te 2.83
Zr 0.0000 0.0000 0.2574  2 Cl 2.73, 2 Te 2.83
Cl 0.5000 0.0000 0.5000  4 Zr 2.73
Te 0.5000 0.0000 0.0000  4 Zr 2.83

Summary:
Its energy relative to the elements, uncorrected is -2.03 eV/f.u. The polymorph energy (0 for the lowest one) is 358 meV/atom. Its space group is Cmmm.

---

no.,Fermi-level density of states (states/eV per atom),final energy (eV per cell)
1,0.454,-682.3
2,0.918,-224.2
3,0.680,-113.2
4,0.000,-512.8
5,0.244,-107.2
6,0.805,-108.7